Record 1
First-principles (PBE-GGA) data for SrCuPPt2 after structural relaxation, as listed in Alexandria via LeMat-Bulk.

a = 5.2582 Å, b = 5.3683 Å, c = 5.2582 Å
α = 90.00°, β = 90.00°, γ = 90.00°
Positions (direct):
Pt 0.5000 0.0000 0.0000
Pt 0.0000 0.0000 0.5000
Sr 0.0000 0.0000 0.0000
Cu 0.5000 0.5000 0.5000
P 0.0000 0.5000 0.0000

ΔH_f (0 K) ... 1.7513 eV per atom
Magnetic moment ... 0.000 μB per formula unit
Crystal system ... tetragonal
Theoretical density ... 6.4 g/cm3

---

Record 2
First-principles (PBE-GGA) data for ZnCrRe2 after structural relaxation, as listed in Alexandria via LeMat-Bulk.

a = 2.7296 Å, b = 2.7296 Å, c = 7.5192 Å
α = 90.00°, β = 90.00°, γ = 90.00°
Positions (direct):
Re 0.0000 0.0000 0.5171
Re 0.0000 0.0000 0.9829
Zn 0.5000 0.5000 0.2500
Cr 0.5000 0.5000 0.7500

ΔH_f (0 K) ... 0.2365 eV per atom
Magnetic moment ... 0.000 μB per formula unit
Crystal system ... tetragonal
Theoretical density ... 14.5 g/cm3

---

Record 3
First-principles (PBE-GGA) data for La2TlCuO6 after structural relaxation, as listed in Alexandria via LeMat-Bulk.

a = 5.7809 Å, b = 5.7089 Å, c = 9.1819 Å
α = 90.00°, β = 81.68°, γ = 90.00°
Positions (direct):
O 0.8689 0.5548 0.2207
O 0.6311 0.0548 0.2793
O 0.3689 0.9452 0.7207
O 0.8222 0.7664 0.5634
O 0.7514 0.3097 0.5870
O 0.6778 0.2664 0.9366
O 0.2514 0.1903 0.0870
O 0.3222 0.7336 0.0634
O 0.1778 0.2336 0.4366
O 0.1311 0.4452 0.7793
O 0.7486 0.8097 0.9130
O 0.2486 0.6903 0.4130
La 0.9693 0.0531 0.7320
La 0.5307 0.5531 0.7680
La 0.4693 0.4469 0.2320
La 0.0307 0.9469 0.2680
Cu 0.0000 0.5000 0.5000
Cu 0.5000 0.0000 0.0000
Tl 0.0000 0.5000 0.0000
Tl 0.5000 0.0000 0.5000

Magnetic moment ... 0.000 μB per formula unit
Crystal system ... monoclinic
Theoretical density ... 7.1 g/cm3
Formation energy from raw total energies ... -2.000 eV/atom

---

Record 4
First-principles (PBE-GGA) data for VTe3Br after structural relaxation, as listed in Alexandria via LeMat-Bulk.

a = 5.4416 Å, b = 7.8632 Å, c = 7.8698 Å
α = 120.05°, β = 90.00°, γ = 90.00°
Positions (direct):
Te 0.2500 0.8340 0.1658
Te 0.2500 0.8339 0.6681
Te 0.7500 0.1661 0.3319
Te 0.7500 0.6678 0.8339
Te 0.2500 0.3322 0.1661
Te 0.7500 0.1660 0.8342
Br 0.2500 0.3328 0.6665
Br 0.7500 0.6672 0.3335
V 0.5000 0.0000 0.0000
V 0.0000 0.0000 0.0000

Distance to the lowest polymorph of the same formula ... 0.00 eV/f.u.
Magnetic moment ... 0.000 μB per formula unit
Crystal system ... orthorhombic
Theoretical density ... 5.9 g/cm3
Formation energy from raw total energies ... -0.193 eV/atom